KMn2Au, relaxed, DFT PBE; volume = 113 Å³/cell; size of the total moment = 8.252 μB/f.u.; E above lowest polymorph = 0 meV per atom; ΔE_f = 397.0 meV/atom
1.0
3.975 -2.292 0.000
3.975 2.292 0.000
-2.640 0.000 6.228
K Mn Au
1 2 1
Direct
0.000 0.000 0.000
0.180 0.180 0.540
0.482 0.482 0.448
0.820 0.820 0.460